# Mn3PbCl8 | Alexandria | PBE | optimized geometry
# **Raw formation energy**: -1.065 eV per atom
# **Total magnetic moment**: 1.250 μB/atom
# **Calculated total energy**: -4.898 eV per atom
data_Mn3PbCl8
_chemical_formula_sum 'Mn6 Pb2 Cl16'
_cell_length_a 13.4412
_cell_length_b 7.7899
_cell_length_c 7.8663
_cell_angle_alpha 90.00
_cell_angle_beta 125.61
_cell_angle_gamma 90.00
_space_group_name_H-M_alt 'C 1 2/m 1'
_space_group_IT_number 12
loop_
_space_group_symop_operation_xyz
'x,y,z'
'-x,-y,-z'
'-x,y,-z'
'x,-y,z'
'x+1/2,y+1/2,z'
'-x+1/2,-y+1/2,-z'
'-x+1/2,y+1/2,-z'
'x+1/2,-y+1/2,z'
loop_
_atom_site_label
_atom_site_fract_x
_atom_site_fract_y
_atom_site_fract_z
Mn1 0.0000 0.0000 0.0000
Mn2 0.2500 0.2500 0.5000
Pb1 0.0000 0.5000 0.0000
Cl1 0.0164 0.2239 0.2538
Cl2 0.2404 0.0000 0.2655
Cl3 0.2404 0.0000 0.7016